This record from Alexandria via LeMat-Bulk describes KZr2Te after structural relaxation. The functional is PBE-GGA.

Unit cell a=4.4531 b=4.4531 c=5.3165 alpha=90.00 beta=90.00 gamma=90.00
Space group P4/mmm (No. 123)
Inequivalent atoms, fractional coordinates:
K1 0.0000 0.0000 0.0000 x1
Zr1 0.0000 0.5000 0.5000 x2
Te1 0.5000 0.5000 0.0000 x1

## Properties
- ΔE_f (raw) (meV per atom) = 351
- spin magnetization (μB per cell) = 0.00



This record from Alexandria via LeMat-Bulk describes LaTbGeSe after structural relaxation. The functional is PBE-GGA.

Unit cell a=4.2685 b=4.2685 c=20.9964 alpha=90.00 beta=90.00 gamma=120.00
Space group R3m (No. 160, hexagonal axes)
Inequivalent atoms, fractional coordinates:
La1 0.0000 0.0000 0.0000 x3
Tb1 0.0000 0.0000 0.5070 x3
Ge1 0.0000 0.0000 0.2498 x3
Se1 0.0000 0.0000 0.7581 x3

## Properties
- ΔE_f (raw) (meV per atom) = -1414
- spin magnetization (μB per cell) = 0.00



This record from Alexandria via LeMat-Bulk describes Pm2Sm15Er2 after structural relaxation. The functional is PBE-GGA.

Unit cell a=11.1545 b=11.1545 c=18.2595 alpha=90.00 beta=90.00 gamma=120.00
Space group R-3m (No. 166, hexagonal axes)
Inequivalent atoms, fractional coordinates:
Pm1 0.0000 0.0000 0.0910 x6
Sm1 0.0000 0.2994 0.0000 x18
Sm2 0.0000 0.5000 0.5000 x9
Sm3 0.0251 0.5125 0.1309 x18
Er1 0.0000 0.0000 0.3147 x6

## Properties
- calculated formation energy (eV per atom) = 0.284
- spin magnetization (μB per cell) = 0.01



This record from Alexandria via LeMat-Bulk describes TlIBrO2 after structural relaxation. The functional is PBE-GGA.

Unit cell a=4.4248 b=4.4248 c=5.6633 alpha=90.00 beta=90.00 gamma=90.00
Space group P4/mmm (No. 123)
Inequivalent atoms, fractional coordinates:
Tl1 0.0000 0.0000 0.0000 x1
I1 0.5000 0.5000 0.0000 x1
Br1 0.5000 0.5000 0.5000 x1
O1 0.0000 0.5000 0.5000 x2

## Properties
- ΔE_f (raw) (meV per atom) = 499
- spin magnetization (μB per cell) = 0.00



This record from Alexandria via LeMat-Bulk describes RbCdIn2I6 after structural relaxation. The functional is PBE-GGA.

Unit cell a=8.1287 b=8.1287 c=23.5289 alpha=90.00 beta=90.00 gamma=120.00
Space group R3 (No. 146, hexagonal axes)
Inequivalent atoms, fractional coordinates:
Rb1 0.0000 0.0000 0.0000 x3
Cd1 0.0000 0.0000 0.4847 x3
In1 0.0000 0.0000 0.3001 x3
In2 0.0000 0.0000 0.8131 x3
I1 0.0087 0.6878 0.5546 x9
I2 0.0126 0.4023 0.0703 x9

## Properties
- ΔE_f (raw) (meV per atom) = -650
- spin magnetization (μB per cell) = 0.00



This record from Alexandria via LeMat-Bulk describes Ti2BiRu after structural relaxation. The functional is PBE-GGA.

Unit cell a=7.3631 b=7.3631 c=5.8335 alpha=90.00 beta=90.00 gamma=90.00
Space group I-42d (No. 122)
Inequivalent atoms, fractional coordinates:
Ti1 0.1923 0.2500 0.1250 x8
Bi1 0.0000 0.0000 0.5000 x4
Ru1 0.0000 0.0000 0.0000 x4

## Properties
- calculated formation energy (eV per atom) = 0.080
- spin magnetization (μB per cell) = 0.00



This record from Alexandria via LeMat-Bulk describes U3CN after structural relaxation. The functional is PBE-GGA.

Unit cell a=5.4106 b=5.4106 c=2.9177 alpha=90.00 beta=90.00 gamma=120.00
Space group P-6 (No. 174)
Inequivalent atoms, fractional coordinates:
U1 0.0004 0.2867 0.0000 x3
C1 0.6667 0.3333 0.5000 x1
N1 0.3333 0.6667 0.5000 x1

## Properties
- ΔE_f (raw) (meV per atom) = -184
- spin magnetization (μB per cell) = 0.03



This record from Alexandria via LeMat-Bulk describes Ba2ScInS5 after structural relaxation. The functional is PBE-GGA.

Unit cell a=4.0730 b=18.1661 c=12.9104 alpha=90.00 beta=90.00 gamma=90.00
Space group Cmc2_1 (No. 36)
Inequivalent atoms, fractional coordinates:
Ba1 0.0000 0.1180 0.0000 x4
Ba2 0.0000 0.1350 0.6272 x4
Sc1 0.0000 0.2145 0.3375 x4
In1 0.0000 0.4434 0.7610 x4
S1 0.0000 0.0572 0.3726 x4
S2 0.0000 0.2894 0.9648 x4
S3 0.0000 0.3096 0.6978 x4
S4 0.0000 0.3493 0.3184 x4
S5 0.0000 0.4970 0.0933 x4

## Properties
- ΔE_f (raw) (meV per atom) = -1653
- spin magnetization (μB per cell) = 0.00



This record from Alexandria via LeMat-Bulk describes NaPmSm4Se8 after structural relaxation. The functional is PBE-GGA.

Unit cell a=8.6291 b=8.6291 c=21.1931 alpha=90.00 beta=90.00 gamma=120.00
Space group R3m (No. 160, hexagonal axes)
Inequivalent atoms, fractional coordinates:
Na1 0.0000 0.0000 0.0000 x3
Pm1 0.0000 0.0000 0.3700 x3
Sm1 0.0000 0.0000 0.7494 x3
Sm2 0.0122 0.5061 0.8761 x9
Se1 0.0000 0.0000 0.1344 x3
Se2 0.0000 0.0000 0.6164 x3
Se3 0.0210 0.5105 0.1276 x9
Se4 0.1791 0.3583 0.9542 x9

## Properties
- ΔE_f (raw) (meV per atom) = -1763
- spin magnetization (μB per cell) = 0.00



This record from Alexandria via LeMat-Bulk describes BaLa2Rh after structural relaxation. The functional is PBE-GGA.

Unit cell a=4.8692 b=5.7081 c=10.2944 alpha=90.00 beta=90.00 gamma=90.00
Space group Cmmm (No. 65)
Inequivalent atoms, fractional coordinates:
Ba1 0.0000 0.0000 0.0000 x2
La1 0.0000 0.5000 0.3411 x4
Rh1 0.0000 0.0000 0.5000 x2

## Properties
- calculated formation energy (eV per atom) = -0.284
- spin magnetization (μB per cell) = 0.00



This record from Alexandria via LeMat-Bulk describes Nd6Sm3Ho2Sc after structural relaxation. The functional is PBE-GGA.

Unit cell a=6.2699 b=10.8614 c=11.8625 alpha=90.00 beta=100.13 gamma=90.00
Space group C2/m (No. 12)
Inequivalent atoms, fractional coordinates:
Nd1 0.2465 0.1651 0.2443 x8
Nd2 0.2490 0.0000 0.7552 x4
Sm1 0.0000 0.1667 0.5000 x4
Sm2 0.0000 0.5000 0.5000 x2
Ho1 0.0000 0.3334 0.0000 x4
Sc1 0.0000 0.0000 0.0000 x2

## Properties
- calculated formation energy (eV per atom) = 0.026
- spin magnetization (μB per cell) = 0.00



This record from Alexandria via LeMat-Bulk describes ZnSiSe2 after structural relaxation. The functional is PBE-GGA.

Unit cell a=4.7433 b=4.7433 c=3.3170 alpha=90.00 beta=90.00 gamma=90.00
Space group P4/mmm (No. 123)
Inequivalent atoms, fractional coordinates:
Zn1 0.0000 0.0000 0.0000 x1
Si1 0.5000 0.5000 0.0000 x1
Se1 0.0000 0.5000 0.5000 x2

## Properties
- ΔE_f (raw) (meV per atom) = 268
- spin magnetization (μB per cell) = 0.00